Record 1
The following is a DFT calculation (PBE) of an optimized crystal structure of HfAsP.

Lattice parameters (Å, degrees): 7.2780 7.2780 3.4137 90.00 90.00 120.00
Space group P-62m (No. 189)
Unique sites:
Hf 0.0000 0.3924 0.0000
As 0.0000 0.0000 0.0000
As 0.3333 0.6667 0.5000
P 0.0000 0.7148 0.5000



Record 2
The following is a DFT calculation (PBE) of an optimized crystal structure of Li2OsPd.

Lattice parameters (Å, degrees): 6.058 6.058 6.058 90.00 90.00 90.00
Space group F-43m (No. 216)
Unique sites:
Li 0.000 0.000 0.000
Li 0.250 0.250 0.250
Os 0.250 0.250 0.750
Pd 0.000 0.000 0.500



Number 1: calculated density 9.05 g/cm³, DFT total energy -6.93 eV/atom. Number 2: calculated density 9.28 g/cm³, DFT total energy -4.78 eV/atom.